[1]
## CrAgMo2 (meta-GGA SCAN)

Data for a PBEsol-optimized structure of CrAgMo2.

a = 9.100 Å, b = 9.100 Å, c = 9.100 Å
α = 17.46°, β = 17.46°, γ = 17.46°
Positions (direct):
Cr: 0.000 0.000 0.000
Ag: 0.500 0.500 0.500
Mo: 0.259 0.259 0.259
Mo: 0.741 0.741 0.741

Summary:
Energy of formation from the pure elements (meV per atom): 543
Calculated total energy (eV per atom): -29.3375
Space-group type: No. 166
M_tot (μB/f.u.): 0.00



[2]
## CrAgMo2 (meta-GGA SCAN)

Data for a PBEsol-optimized structure of CrAgMo2.

a = 3.124 Å, b = 3.124 Å, c = 6.126 Å
α = 90.00°, β = 90.00°, γ = 90.00°
Positions (direct):
Cr: 0.000 0.000 0.000
Ag: 0.500 0.500 0.737
Mo: 0.000 0.000 0.447
Mo: 0.500 0.500 0.211

Summary:
Energy of formation from the pure elements (meV per atom): 419
Calculated total energy (eV per atom): -29.4619
Space-group type: No. 99
M_tot (μB/f.u.): 2.35



[3]
## CrAgMo2 (meta-GGA SCAN)

Data for a PBEsol-optimized structure of CrAgMo2.

a = 4.387 Å, b = 4.387 Å, c = 4.387 Å
α = 60.00°, β = 60.00°, γ = 60.00°
Positions (direct):
Cr: 0.000 0.000 0.000
Ag: 0.750 0.750 0.750
Mo: 0.250 0.250 0.250
Mo: 0.500 0.500 0.500

Summary:
Energy of formation from the pure elements (meV per atom): 498
Calculated total energy (eV per atom): -29.3821
Space-group type: No. 216
M_tot (μB/f.u.): 2.73



[4]
## CrAgMo2 (meta-GGA SCAN)

Data for a PBEsol-optimized structure of CrAgMo2.

a = 2.650 Å, b = 2.650 Å, c = 8.812 Å
α = 90.00°, β = 90.00°, γ = 108.46°
Positions (direct):
Cr: 0.000 0.000 0.000
Ag: 0.500 0.500 0.252
Mo: 0.000 0.000 0.524
Mo: 0.500 0.500 0.776

Summary:
Energy of formation from the pure elements (meV per atom): 357
Calculated total energy (eV per atom): -29.5231
Space-group type: No. 35
M_tot (μB/f.u.): 0.00



[5]
## CrAg3N (meta-GGA SCAN)

Data for a PBEsol-optimized structure of CrAg3N.

a = 4.921 Å, b = 4.921 Å, c = 4.921 Å
α = 90.00°, β = 90.00°, γ = 90.00°
Positions (direct):
Cr: 0.000 0.000 0.000
Ag: 0.000 0.000 0.500
Ag: 0.000 0.500 0.000
Ag: 0.500 0.000 0.000
N: 0.500 0.500 0.500

Summary:
Calculated total energy (eV per atom): -22.4111
Space-group type: No. 221
M_tot (μB/f.u.): 7.28
Formation energy from raw total energies (eV/atom): 1.944



[6]
## CrAgS2N (meta-GGA SCAN)

Data for a PBEsol-optimized structure of CrAgS2N.

a = 4.838 Å, b = 4.838 Å, c = 3.816 Å
α = 90.00°, β = 90.00°, γ = 90.00°
Positions (direct):
Cr: 0.000 0.000 0.000
Ag: 0.500 0.500 0.500
S: 0.000 0.500 0.500
S: 0.500 0.000 0.500
N: 0.500 0.500 0.000

Summary:
Calculated total energy (eV per atom): -14.6155
Space-group type: No. 123
M_tot (μB/f.u.): 5.70
Formation energy from raw total energies (eV/atom): 1.044



[7]
## CrAgSe2N (meta-GGA SCAN)

Data for a PBEsol-optimized structure of CrAgSe2N.

a = 4.901 Å, b = 4.901 Å, c = 3.470 Å
α = 90.00°, β = 90.00°, γ = 90.00°
Positions (direct):
Cr: 0.000 0.000 0.000
Ag: 0.500 0.500 0.500
Se: 0.000 0.500 0.000
Se: 0.500 0.000 0.000
N: 0.000 0.000 0.500

Summary:
Calculated total energy (eV per atom): -19.7033
Space-group type: No. 123
M_tot (μB/f.u.): 0.29
Formation energy from raw total energies (eV/atom): 0.137



[8]
## CrAgTe2N (meta-GGA SCAN)

Data for a PBEsol-optimized structure of CrAgTe2N.

a = 5.292 Å, b = 5.292 Å, c = 3.477 Å
α = 90.00°, β = 90.00°, γ = 90.00°
Positions (direct):
Cr: 0.000 0.000 0.000
Ag: 0.500 0.500 0.500
Te: 0.000 0.500 0.000
Te: 0.500 0.000 0.000
N: 0.000 0.000 0.500

Summary:
Calculated total energy (eV per atom): -26.5721
Space-group type: No. 123
M_tot (μB/f.u.): 1.47
Formation energy from raw total energies (eV/atom): 0.137



[9]
## TlCr2AgN (meta-GGA SCAN)

Data for a PBEsol-optimized structure of TlCr2AgN.

a = 5.232 Å, b = 5.232 Å, c = 5.205 Å
α = 90.00°, β = 90.00°, γ = 90.00°
Positions (direct):
Tl: 0.000 0.000 0.000
Cr: 0.000 0.500 0.000
Cr: 0.500 0.000 0.000
Ag: 0.000 0.000 0.500
N: 0.500 0.500 0.500

Summary:
Calculated total energy (eV per atom): -28.0230
Space-group type: No. 123
M_tot (μB/f.u.): 11.80
Formation energy from raw total energies (eV/atom): 1.934



[10]
## CrAgWN2 (meta-GGA SCAN)

Data for a PBEsol-optimized structure of CrAgWN2.

a = 3.872 Å, b = 3.872 Å, c = 4.768 Å
α = 90.00°, β = 90.00°, γ = 90.00°
Positions (direct):
Cr: 0.000 0.000 0.000
Ag: 0.000 0.000 0.500
W: 0.500 0.500 0.000
N: 0.000 0.500 0.500
N: 0.500 0.000 0.500

Summary:
Calculated total energy (eV per atom): -25.0636
Space-group type: No. 123
M_tot (μB/f.u.): 3.15
Formation energy from raw total energies (eV/atom): 2.541



[11]
## NaCr2Ag2 (meta-GGA SCAN)

Data for a PBEsol-optimized structure of NaCr2Ag2.

a = 8.902 Å, b = 8.902 Å, c = 8.902 Å
α = 159.72°, β = 159.72°, γ = 28.84°
Positions (direct):
Na: 0.000 0.000 0.000
Cr: 0.250 0.750 0.500
Cr: 0.750 0.250 0.500
Ag: 0.381 0.381 0.000
Ag: 0.619 0.619 0.000

Summary:
Energy of formation from the pure elements (meV per atom): 689
Calculated total energy (eV per atom): -20.0551
Space-group type: No. 139
M_tot (μB/f.u.): 0.00



[12]
## Na2CrAgP (meta-GGA SCAN)

Data for a PBEsol-optimized structure of Na2CrAgP.

a = 5.192 Å, b = 5.192 Å, c = 4.922 Å
α = 90.00°, β = 90.00°, γ = 90.00°
Positions (direct):
Na: 0.000 0.500 0.000
Na: 0.500 0.000 0.000
Cr: 0.000 0.000 0.000
Ag: 0.000 0.000 0.500
P: 0.500 0.500 0.500

Summary:
Energy of formation from the pure elements (meV per atom): 980
Calculated total energy (eV per atom): -12.7356
Space-group type: No. 123
M_tot (μB/f.u.): 5.13